Ba2TiMnIn PBE optimized geometry; raw total energy = -3.835 eV/atom; calculated formation energy = 0.895 eV/atom
1.0
6.6102 0.0000 0.0000
0.0000 6.6102 0.0000
0.0000 0.0000 5.3257
Ba Ti Mn In
2 1 1 1
Direct
0.0000 0.5000 0.0000
0.5000 0.0000 0.0000
0.0000 0.0000 0.5000
0.5000 0.5000 0.5000
0.0000 0.0000 0.0000